NbNi2TeSe2 | PBE | relaxed

Raw total energy = -5.7367 eV per atom
Calculated volume = 21.107 Å³/atom

a = 7.2994 Å, b = 3.5478 Å, c = 10.2335 Å
α = 90.00°, β = 107.11°, γ = 90.00°
Last column: nearest neighbours and their distance in Å.
Fractional coordinates of all 12 atoms:
Te: 0.1017 0.7500 0.3386  3 Ni 2.53-2.59, 1 Nb 2.74
Te: 0.8983 0.2500 0.6614  3 Ni 2.53-2.59, 1 Nb 2.74
Ni: 0.0977 0.7500 0.5908  1 Se 2.41, 3 Te 2.53-2.59, 2 Ni 2.66
Ni: 0.4461 0.2500 0.0661  4 Se 2.38-2.64, 2 Ni 2.49, 1 Nb 2.62
Ni: 0.9023 0.2500 0.4092  1 Se 2.41, 3 Te 2.53-2.59, 2 Ni 2.66
Ni: 0.5539 0.7500 0.9339  4 Se 2.38-2.64, 2 Ni 2.49, 1 Nb 2.62
Se: 0.2221 0.7500 0.9887  3 Ni 2.38-2.64
Se: 0.7779 0.2500 0.0113  3 Ni 2.38-2.64
Se: 0.5589 0.2500 0.3157  2 Ni 2.41-2.44, 2 Nb 2.61
Se: 0.4411 0.7500 0.6843  2 Ni 2.41-2.44, 2 Nb 2.61
Nb: 0.7199 0.7500 0.1980  4 Se 2.61-2.73, 5 Ni 2.62-2.81, 1 Te 2.74
Nb: 0.2801 0.2500 0.8020  4 Se 2.61-2.73, 5 Ni 2.62-2.81, 1 Te 2.74

=====

NaGa2Ir2 | PBE | relaxed

Raw total energy = -5.3587 eV per atom
Calculated volume = 15.894 Å³/atom

a = 7.4384 Å, b = 7.4384 Å, c = 2.8726 Å
α = 90.00°, β = 90.00°, γ = 90.00°
Last column: nearest neighbours and their distance in Å.
Fractional coordinates of all 10 atoms:
Ga: 0.6444 0.8556 0.0000  6 Ir 2.59-2.62, 2 Na 2.85, 2 Ga 2.87
Ga: 0.3556 0.1444 0.0000  6 Ir 2.59-2.62, 2 Na 2.85, 2 Ga 2.87
Ga: 0.8556 0.3556 0.0000  6 Ir 2.59-2.62, 2 Na 2.85, 2 Ga 2.87
Ga: 0.1444 0.6444 0.0000  6 Ir 2.59-2.62, 2 Na 2.85, 2 Ga 2.87
Ir: 0.1505 0.3495 0.5000  6 Ga 2.59-2.62, 2 Ir 2.87
Ir: 0.3495 0.8495 0.5000  6 Ga 2.59-2.62, 2 Ir 2.87
Ir: 0.6505 0.1505 0.5000  6 Ga 2.59-2.62, 2 Ir 2.87
Ir: 0.8495 0.6505 0.5000  6 Ga 2.59-2.62, 2 Ir 2.87
Na: 0.0000 0.0000 0.0000  4 Ga 2.85, 2 Na 2.87, 8 Ir 3.17
Na: 0.5000 0.5000 0.0000  4 Ga 2.85, 2 Na 2.87, 8 Ir 3.17

=====

Q: calculated volume of number 1 (NbNi2TeSe2)?
A: 21.107 Å³/atom